Entry 1:
## YNiAu (GGA-PBE)

Data for an optimized crystal structure of YNiAu.

The value obtained for the density of states at the Fermi level is 2.3 states/eV per cell. The calculation puts the total moment at 0.00 Bohr magnetons per cell. As for the formation energy: -478 meV/atom.

Cell: 5.159 5.159 3.567 Å, 69.78 69.78 40.45°
Fractional positions:
Y: 0.328 0.328 0.672
Au: 0.007 0.007 0.993
Ni: 0.665 0.665 0.335

=====

Entry 2:
## Zr3Zn7Pd2 (GGA-PBE)

Data for an optimized crystal structure of Zr3Zn7Pd2.

The value obtained for the density of states at the Fermi level is 8.8 states/eV per cell. The calculation puts the total moment at 2.07 Bohr magnetons per cell. As for the formation energy: -353 meV/atom.

Cell: 5.204 5.204 9.025 Å, 73.24 73.24 60.00°
Site moments in Bohr magnetons follow the coordinates.
Fractional positions:
Zn: 0.413 0.413 0.253  0.02
Zn: 0.079 0.587 0.747  0.02
Zr: 0.145 0.145 0.566  0.54
Zn: 0.413 0.921 0.253  0.02
Zr: 0.855 0.855 0.434  0.54
Zn: 0.921 0.413 0.253  0.02
Zn: 0.587 0.079 0.747  0.02
Zr: 0.000 0.000 0.000  0.08
Zn: 0.587 0.587 0.747  0.02
Pd: 0.335 0.335 0.996  0.03
Zn: 0.500 0.500 0.500  0.00
Pd: 0.665 0.665 0.004  0.03

=====

no.,total energy (eV per atom)
1,-5.65
2,-4.10